(1)
{"formula": "Pm2Ge4Mo", "functional": "PBE", "state": "relaxed", "magnetic_moment_mub_per_atom": 0.000, "formation_energy_ev_per_fu": -2.12, "rho_g_cm3": 6.87, "lattice": [[-3.026, 3.026, 4.462], [3.026, -3.026, 4.462], [3.026, 3.026, -4.462]], "species": ["Pm", "Pm", "Ge", "Ge", "Ge", "Ge", "Mo"], "fractional_positions": [[0.250, 0.750, 0.500], [0.750, 0.250, 0.500], [0.210, 0.210, 0.419], [0.210, 0.790, 0.000], [0.790, 0.210, 0.000], [0.790, 0.790, 0.581], [0.500, 0.500, 0.000]]}



(2)
{"formula": "PmGe3Mo2", "functional": "PBE", "state": "relaxed", "magnetic_moment_mub_per_atom": 0.000, "formation_energy_ev_per_fu": -1.32, "rho_g_cm3": 8.10, "lattice": [[5.057, -3.998, 0.000], [5.057, 3.998, 0.000], [0.000, 0.000, 5.623]], "species": ["Pm", "Pm", "Ge", "Ge", "Ge", "Ge", "Ge", "Ge", "Mo", "Mo", "Mo", "Mo"], "fractional_positions": [[0.153, 0.847, 0.750], [0.847, 0.153, 0.250], [0.055, 0.629, 0.250], [0.371, 0.945, 0.250], [0.476, 0.524, 0.250], [0.524, 0.476, 0.750], [0.629, 0.055, 0.750], [0.945, 0.371, 0.750], [0.287, 0.287, 0.000], [0.287, 0.287, 0.500], [0.713, 0.713, 0.000], [0.713, 0.713, 0.500]]}



(3)
{"formula": "PmGe3Mo", "functional": "PBE", "state": "relaxed", "magnetic_moment_mub_per_atom": 0.000, "formation_energy_ev_per_fu": -0.97, "rho_g_cm3": 7.52, "lattice": [[5.542, -6.637, 0.000], [5.542, 6.637, 0.000], [-0.150, 0.000, 5.511]], "species": ["Pm", "Pm", "Pm", "Pm", "Ge", "Ge", "Ge", "Ge", "Ge", "Ge", "Ge", "Ge", "Ge", "Ge", "Ge", "Ge", "Mo", "Mo", "Mo", "Mo"], "fractional_positions": [[0.079, 0.251, 0.010], [0.251, 0.079, 0.510], [0.749, 0.921, 0.490], [0.921, 0.749, 0.990], [0.051, 0.749, 0.499], [0.173, 0.591, 0.161], [0.245, 0.421, 0.563], [0.251, 0.949, 0.001], [0.409, 0.827, 0.339], [0.421, 0.245, 0.063], [0.579, 0.755, 0.937], [0.591, 0.173, 0.661], [0.749, 0.051, 0.999], [0.755, 0.579, 0.437], [0.827, 0.409, 0.839], [0.949, 0.251, 0.501], [0.307, 0.693, 0.750], [0.460, 0.540, 0.250], [0.540, 0.460, 0.750], [0.693, 0.307, 0.250]]}



(4)
{"formula": "Pm3Ge4Mo2", "functional": "PBE", "state": "relaxed", "magnetic_moment_mub_per_atom": 0.000, "formation_energy_ev_per_fu": -4.91, "rho_g_cm3": 7.49, "lattice": [[6.337, -2.145, 0.000], [6.337, 2.145, 0.000], [-4.154, 0.000, 7.487]], "species": ["Pm", "Pm", "Pm", "Ge", "Ge", "Ge", "Ge", "Mo", "Mo"], "fractional_positions": [[0.000, 0.000, 0.000], [0.368, 0.368, 0.268], [0.632, 0.632, 0.732], [0.068, 0.068, 0.406], [0.319, 0.319, 0.894], [0.681, 0.681, 0.106], [0.932, 0.932, 0.594], [0.306, 0.306, 0.598], [0.694, 0.694, 0.402]]}



(5)
{"formula": "Pm2Ge5Mo", "functional": "PBE", "state": "relaxed", "magnetic_moment_mub_per_atom": 0.000, "formation_energy_ev_per_fu": -2.75, "rho_g_cm3": 7.18, "lattice": [[-3.104, 3.104, 4.497], [3.104, -3.104, 4.497], [3.104, 3.104, -4.497]], "species": ["Pm", "Pm", "Ge", "Ge", "Ge", "Ge", "Ge", "Mo"], "fractional_positions": [[0.000, 0.500, 0.500], [0.500, 0.000, 0.500], [0.041, 0.041, 0.000], [0.044, 0.044, 0.577], [0.044, 0.468, 0.000], [0.468, 0.044, 0.000], [0.468, 0.468, 0.423], [0.768, 0.768, 0.000]]}



(6)
{"formula": "PmGe2Mo", "functional": "PBE", "state": "relaxed", "magnetic_moment_mub_per_atom": 0.000, "formation_energy_ev_per_fu": -1.44, "relative_energy_mev_per_atom": 0, "rho_g_cm3": 7.86, "lattice": [[3.781, 0.000, 0.000], [-1.875, 4.186, 0.000], [-0.024, -1.924, 5.155]], "species": ["Pm", "Ge", "Ge", "Mo"], "fractional_positions": [[0.000, 0.000, 0.000], [0.231, 0.463, 0.663], [0.769, 0.537, 0.337], [0.500, 0.000, 0.500]]}



(7)
{"formula": "Pm2Ge4MoPt3", "functional": "PBE", "state": "relaxed", "magnetic_moment_mub_per_atom": 0.003, "formation_energy_ev_per_fu": -7.81, "rho_g_cm3": 10.83, "lattice": [[4.307, 0.000, 0.000], [0.000, 4.307, 0.000], [0.000, 0.000, 10.425]], "species": ["Pm", "Pm", "Ge", "Ge", "Ge", "Ge", "Mo", "Pt", "Pt", "Pt"], "fractional_positions": [[0.000, 0.500, 0.244], [0.500, 0.000, 0.756], [0.000, 0.000, 0.000], [0.000, 0.500, 0.632], [0.500, 0.000, 0.368], [0.500, 0.500, 0.000], [0.000, 0.000, 0.500], [0.000, 0.500, 0.871], [0.500, 0.000, 0.129], [0.500, 0.500, 0.500]]}



(8)
{"formula": "GeMo3Pt", "functional": "PBE", "state": "relaxed", "magnetic_moment_mub_per_atom": 0.000, "formation_energy_ev_per_fu": 6.54, "relative_energy_mev_per_atom": 0, "rho_g_cm3": 9.82, "lattice": [[4.546, 0.000, 0.000], [0.000, 4.546, 0.000], [0.000, 0.000, 4.546]], "species": ["Ge", "Mo", "Mo", "Mo", "Pt"], "fractional_positions": [[0.000, 0.000, 0.000], [0.000, 0.000, 0.500], [0.000, 0.500, 0.000], [0.500, 0.000, 0.000], [0.500, 0.500, 0.500]]}



(9)
{"formula": "Ge2MoPt", "functional": "PBE", "state": "relaxed", "magnetic_moment_mub_per_atom": 0.000, "formation_energy_ev_per_fu": -0.66, "relative_energy_mev_per_atom": 0, "rho_g_cm3": 11.79, "lattice": [[4.326, 0.000, 0.000], [0.000, 4.326, 0.000], [0.000, 0.000, 3.285]], "species": ["Ge", "Ge", "Mo", "Pt"], "fractional_positions": [[0.000, 0.500, 0.000], [0.500, 0.000, 0.000], [0.000, 0.000, 0.500], [0.500, 0.500, 0.500]]}



(10)
{"formula": "Ge2MoPt", "functional": "PBE", "state": "relaxed", "magnetic_moment_mub_per_atom": 0.000, "formation_energy_ev_per_fu": 1.05, "relative_energy_mev_per_atom": 426, "rho_g_cm3": 10.42, "lattice": [[-3.418, 3.418, 2.975], [3.418, -3.418, 2.975], [3.418, 3.418, -2.975]], "species": ["Ge", "Ge", "Ge", "Ge", "Mo", "Mo", "Pt", "Pt"], "fractional_positions": [[0.110, 0.625, 0.985], [0.375, 0.360, 0.485], [0.640, 0.125, 0.015], [0.875, 0.890, 0.515], [0.250, 0.750, 0.500], [0.500, 0.500, 0.000], [0.000, 0.000, 0.000], [0.750, 0.250, 0.500]]}



(11)
{"formula": "GeMo3Pt", "functional": "PBE", "state": "relaxed", "magnetic_moment_mub_per_atom": 0.476, "formation_energy_ev_per_fu": 8.72, "relative_energy_mev_per_atom": 436, "rho_g_cm3": 8.29, "lattice": [[4.809, 0.000, 0.000], [0.000, 4.809, 0.000], [0.000, 0.000, 4.809]], "species": ["Ge", "Mo", "Mo", "Mo", "Pt"], "fractional_positions": [[0.000, 0.000, 0.000], [0.000, 0.500, 0.500], [0.500, 0.000, 0.500], [0.500, 0.500, 0.000], [0.500, 0.500, 0.500]]}



(12)
{"formula": "GeMoPt3", "functional": "PBE", "state": "relaxed", "magnetic_moment_mub_per_atom": 0.764, "formation_energy_ev_per_fu": 4.08, "relative_energy_mev_per_atom": 0, "rho_g_cm3": 12.62, "lattice": [[4.629, 0.000, 0.000], [0.000, 4.629, 0.000], [0.000, 0.000, 4.629]], "species": ["Ge", "Mo", "Pt", "Pt", "Pt"], "fractional_positions": [[0.000, 0.000, 0.000], [0.500, 0.500, 0.500], [0.000, 0.000, 0.500], [0.000, 0.500, 0.000], [0.500, 0.000, 0.000]]}



(13)
{"formula": "Ge2MoPt", "functional": "PBE", "state": "relaxed", "magnetic_moment_mub_per_atom": 0.000, "formation_energy_ev_per_fu": -0.16, "relative_energy_mev_per_atom": 124, "rho_g_cm3": 10.78, "lattice": [[1.473, 0.850, 8.943], [-1.473, 0.850, 8.943], [0.000, -1.701, 8.943]], "species": ["Ge", "Ge", "Mo", "Pt"], "fractional_positions": [[0.091, 0.091, 0.091], [0.909, 0.909, 0.909], [0.500, 0.500, 0.500], [0.000, 0.000, 0.000]]}